Record 1
Computed, not measured: an optimized crystal structure of HoAg3Se3 at the PBE level of DFT.

```
data_HoAg3Se3
_chemical_formula_sum 'Ho6 Ag18 Se18'
_cell_length_a 7.4909
_cell_length_b 7.4909
_cell_length_c 20.7787
_cell_angle_alpha 90.00
_cell_angle_beta 90.00
_cell_angle_gamma 120.00
_space_group_name_H-M_alt 'R -3'
_space_group_IT_number 148
_space_group_name_Hall '-R 3'
loop_
_atom_site_label
_atom_site_fract_x
_atom_site_fract_y
_atom_site_fract_z
Ho1 0.0000 0.0000 0.1669
Ag1 0.0048 0.6590 0.3729
Se1 0.0006 0.3369 0.4283
```

Summary:
ρ: 7.158 Mg/m³
energy relative to the elements, uncorrected: -0.704 eV/atom

***

Record 2
Computed, not measured: an optimized crystal structure of Ho4AgSe5 at the PBE level of DFT.

```
data_Ho4AgSe5
_chemical_formula_sum 'Ho8 Ag2 Se10'
_cell_length_a 17.8156
_cell_length_b 4.0129
_cell_length_c 8.9241
_cell_angle_alpha 90.00
_cell_angle_beta 106.91
_cell_angle_gamma 90.00
_space_group_name_H-M_alt 'C 1 2/m 1'
_space_group_IT_number 12
loop_
_space_group_symop_operation_xyz
'x,y,z'
'-x,-y,-z'
'-x,y,-z'
'x,-y,z'
'x+1/2,y+1/2,z'
'-x+1/2,-y+1/2,-z'
'-x+1/2,y+1/2,-z'
'x+1/2,-y+1/2,z'
loop_
_atom_site_label
_atom_site_fract_x
_atom_site_fract_y
_atom_site_fract_z
Ho1 0.0031 0.0000 0.2800
Ho2 0.1811 0.5000 0.1095
Ag1 0.0000 0.5000 0.0000
Se1 0.0000 0.5000 0.5000
Se2 0.1600 0.0000 0.3087
Se3 0.1599 0.0000 0.8677
```

Summary:
ρ: 6.324 Mg/m³
N(E_F): 0.371 states/eV per atom
energy relative to the elements, uncorrected: -1.426 eV/atom

***

Record 3
Computed, not measured: an optimized crystal structure of Ho5AgSe4 at the PBE level of DFT.

```
data_Ho5AgSe4
_chemical_formula_sum 'Ho10 Ag2 Se8'
_cell_length_a 13.7583
_cell_length_b 4.0194
_cell_length_c 10.1217
_cell_angle_alpha 90.00
_cell_angle_beta 120.24
_cell_angle_gamma 90.00
_space_group_name_H-M_alt 'C 1 2/m 1'
_space_group_IT_number 12
loop_
_space_group_symop_operation_xyz
'x,y,z'
'-x,-y,-z'
'-x,y,-z'
'x,-y,z'
'x+1/2,y+1/2,z'
'-x+1/2,-y+1/2,-z'
'-x+1/2,y+1/2,-z'
'x+1/2,-y+1/2,z'
loop_
_atom_site_label
_atom_site_fract_x
_atom_site_fract_y
_atom_site_fract_z
Ho1 0.0000 0.0000 0.0000
Ho2 0.1011 0.5000 0.3976
Ho3 0.1988 0.0000 0.7992
Ag1 0.0000 0.0000 0.5000
Se1 0.1022 0.5000 0.9057
Se2 0.1996 0.0000 0.2975
```

Summary:
ρ: 8.574 Mg/m³
N(E_F): 0.528 states/eV per atom
energy relative to the elements, uncorrected: -1.424 eV/atom

***

Record 4
Computed, not measured: an optimized crystal structure of Ho3Ag5Se12 at the PBE level of DFT.

```
data_Ho3Ag5Se12
_chemical_formula_sum 'Ho24 Ag40 Se96'
_cell_length_a 16.0731
_cell_length_b 16.0731
_cell_length_c 16.0731
_cell_angle_alpha 90.00
_cell_angle_beta 90.00
_cell_angle_gamma 90.00
_space_group_name_H-M_alt 'I a -3 d'
_space_group_IT_number 230
_space_group_name_Hall '-I 4bd 2c 3'
loop_
_atom_site_label
_atom_site_fract_x
_atom_site_fract_y
_atom_site_fract_z
Ho1 0.0000 0.2500 0.1250
Ag1 0.0000 0.0000 0.0000
Ag2 0.0000 0.2500 0.3750
Se1 0.0155 0.0664 0.6528
```

Summary:
ρ: 6.340 Mg/m³
N(E_F): 0.905 states/eV per atom
energy relative to the elements, uncorrected: -0.532 eV/atom

***

Record 5
Computed, not measured: an optimized crystal structure of HoAgSe2 at the PBE level of DFT.

```
data_HoAgSe2
_chemical_formula_sum 'Ho4 Ag4 Se8'
_cell_length_a 4.2602
_cell_length_b 6.8123
_cell_length_c 13.7773
_cell_angle_alpha 90.00
_cell_angle_beta 90.00
_cell_angle_gamma 90.00
_space_group_name_H-M_alt 'P 21 21 21'
_space_group_IT_number 19
loop_
_space_group_symop_operation_xyz
'x,y,z'
'-x+1/2,-y,z+1/2'
'x+1/2,-y+1/2,-z'
'-x,y+1/2,-z+1/2'
loop_
_atom_site_label
_atom_site_fract_x
_atom_site_fract_y
_atom_site_fract_z
Ho1 0.2192 0.2067 0.1273
Ag1 0.0085 0.7069 0.1274
Se1 0.2214 0.0882 0.7742
Se2 0.2270 0.4900 0.9733
```

Summary:
ρ: 7.155 Mg/m³
energy relative to the elements, uncorrected: -1.204 eV/atom

***

Record 6
Computed, not measured: an optimized crystal structure of HoAg2Se3 at the PBE level of DFT.

```
data_HoAg2Se3
_chemical_formula_sum 'Ho4 Ag8 Se12'
_cell_length_a 8.4929
_cell_length_b 13.0495
_cell_length_c 5.2622
_cell_angle_alpha 90.00
_cell_angle_beta 90.00
_cell_angle_gamma 90.00
_space_group_name_H-M_alt 'C m c m'
_space_group_IT_number 63
_space_group_name_Hall '-C 2c 2'
loop_
_atom_site_label
_atom_site_fract_x
_atom_site_fract_y
_atom_site_fract_z
Ho1 0.0000 0.2404 0.2500
Ag1 0.2164 0.5000 0.0000
Se1 0.0000 0.3696 0.7500
Se2 0.1933 0.1661 0.7500
```

Summary:
ρ: 7.033 Mg/m³
N(E_F): 0.537 states/eV per atom
energy relative to the elements, uncorrected: -0.550 eV/atom

***

Record 7
Computed, not measured: an optimized crystal structure of HoAgSe2 at the PBE level of DFT.

```
data_HoAgSe2
_chemical_formula_sum 'Ho1 Ag1 Se2'
_cell_length_a 4.0552
_cell_length_b 4.0552
_cell_length_c 5.7569
_cell_angle_alpha 90.00
_cell_angle_beta 90.00
_cell_angle_gamma 90.00
_space_group_name_H-M_alt 'P 4/m m m'
_space_group_IT_number 123
_space_group_name_Hall '-P 4 2'
loop_
_atom_site_label
_atom_site_fract_x
_atom_site_fract_y
_atom_site_fract_z
Ho1 0.0000 0.0000 0.0000
Ag1 0.5000 0.5000 0.5000
Se1 0.0000 0.0000 0.5000
Se2 0.5000 0.5000 0.0000
```

Summary:
ρ: 7.555 Mg/m³
N(E_F): 0.399 states/eV per atom
energy relative to the elements, uncorrected: -1.096 eV/atom

***

Record 8
Computed, not measured: an optimized crystal structure of Ho2AgSe3 at the PBE level of DFT.

```
data_Ho2AgSe3
_chemical_formula_sum 'Ho4 Ag2 Se6'
_cell_length_a 5.6633
_cell_length_b 13.7074
_cell_length_c 4.0802
_cell_angle_alpha 90.00
_cell_angle_beta 90.00
_cell_angle_gamma 90.00
_space_group_name_H-M_alt 'C m m m'
_space_group_IT_number 65
_space_group_name_Hall '-C 2 2'
loop_
_atom_site_label
_atom_site_fract_x
_atom_site_fract_y
_atom_site_fract_z
Ho1 0.0000 0.1447 0.0000
Ag1 0.0000 0.5000 0.5000
Se1 0.0000 0.0000 0.5000
Se2 0.0000 0.3469 0.0000
```

Summary:
ρ: 7.073 Mg/m³
N(E_F): 0.167 states/eV per atom
energy relative to the elements, uncorrected: -1.183 eV/atom